(1)
! MnHg3S, optimized geometry, DFT PBEsol; values from VASP
&SYSTEM
  ibrav = 0, nat = 5, ntyp = 3
/
ATOMIC_SPECIES
S 32.06 S.upf
Mn 54.94 Mn.upf
Hg 200.59 Hg.upf
ATOMIC_POSITIONS angstrom
S -1.7201 -3.6831 -1.6177
Mn 0.0000 0.0000 0.0000
Hg -0.9127 -0.2789 -2.3387
Hg 1.2121 -2.2062 -0.2099
Hg -2.0195 -1.1981 0.9310
CELL_PARAMETERS angstrom
-4.0390 -2.3961 1.8620
-1.8254 -0.5578 -4.6774
2.4241 -4.4124 -0.4199
! Total moment (Bohr magnetons per cell): 4.585
! Crystal system: cubic
! Formation energy from raw total energies (eV/atom): 0.7151
! SG: Pm-3m (221)
! Calculated total energy (eV/f.u.): -12.3

---

(2)
! Ca2OsBr, optimized geometry, DFT PBEsol; values from VASP
&SYSTEM
  ibrav = 0, nat = 4, ntyp = 3
/
ATOMIC_SPECIES
Ca 40.08 Ca.upf
Os 190.23 Os.upf
Br 79.90 Br.upf
ATOMIC_POSITIONS angstrom
Ca 3.3014 0.0000 6.0985
Ca -0.0122 0.0000 1.7347
Os 1.6743 1.6841 0.0121
Br 1.6446 1.6841 3.9166
CELL_PARAMETERS angstrom
3.3486 0.0000 0.0242
0.0000 3.3682 0.0000
-0.0594 0.0000 7.8090
! Total moment (Bohr magnetons per cell): 0.001
! Crystal system: orthorhombic
! Formation energy from raw total energies (eV/atom): -0.3526
! Distance to the lowest polymorph of the same formula (meV per atom): 0.0
! SG: Pmmm (47)
! Calculated total energy (eV/f.u.): -19.8